PBEsol CoCu2Cl, optimized geometry; calculated total energy = -4.26 eV/atom; ΔE_f (raw) = 0.34 eV/atom; energy relative to the lowest polymorph listed for this composition = 12.8 kJ/mol of atoms
1.0
2.8563 0.0000 0.0000
-1.4281 2.4736 0.0000
0.0000 0.0000 22.1652
Co Cu Cl
3 6 3
Cartesian
0.0000 0.0000 0.0000
0.0000 1.6491 14.7768
1.4281 0.8245 7.3884
0.0000 0.0000 5.5544
0.0000 0.0000 16.6108
0.0000 1.6491 9.2224
0.0000 1.6491 20.3312
1.4281 0.8245 1.8340
1.4281 0.8245 12.9428
0.0000 0.0000 11.0826
0.0000 1.6491 3.6942
1.4281 0.8245 18.4710